Entry P
Computed, not measured: a relaxed structure of NdPa2Ge at the PBE-GGA level of DFT.

a = 5.022 Å, b = 4.405 Å, c = 4.405 Å
α = 90.00°, β = 90.00°, γ = 90.00°
Sites, in units of the cell vectors:
Pa  0.000  0.000  0.500
Pa  0.000  0.500  0.000
Nd  0.500  0.500  0.500
Ge  0.500  0.000  0.000

Symmetry   P4/mmm



Entry Q
Computed, not measured: a relaxed structure of NdPa2Ge at the PBE-GGA level of DFT.

a = 3.205 Å, b = 3.205 Å, c = 11.710 Å
α = 82.13°, β = 82.13°, γ = 60.00°
Sites, in units of the cell vectors:
Pa  0.096  0.096  0.712
Pa  0.904  0.904  0.288
Nd  0.000  0.000  0.000
Ge  0.500  0.500  0.500

Symmetry   R-3m



Order of stability, best first: entry P, entry Q